A geometry-optimized Ho4GaSi3 structure. Source: the Alexandria database, functional PBE.

Cell lengths 4.2679, 3.8749, 10.5912 Å; angles 90.00, 90.00, 90.00 degrees
Sites, in units of the cell vectors:
Ho  0.0000  0.0000  0.1417
Si  0.5000  0.0000  0.9212
Si  0.0000  0.5000  0.5762
Si  0.0000  0.0000  0.4251
Ho  0.5000  0.5000  0.3618
Ho  0.5000  0.0000  0.6403
Ga  0.5000  0.5000  0.0764
Ho  0.0000  0.5000  0.8572

Computed properties:
SG: Pmm2 (25)
Theoretical density in g cm⁻³: 7.714
Calculated volume in Å³/atom: 21.89
Uncorrected formation energy in eV/atom: -0.79
Density of states at the Fermi level in states/eV/f.u.: 3.915
M_tot in μB/cell: 0.0

---

A geometry-optimized Ho2GaSi structure. Source: the Alexandria database, functional PBE.

Cell lengths 3.9354, 4.7064, 4.7064 Å; angles 90.00, 90.00, 90.00 degrees
Sites, in units of the cell vectors:
Ho  0.0000  0.5000  0.0000
Si  0.5000  0.0000  0.0000
Ho  0.0000  0.0000  0.5000
Ga  0.5000  0.5000  0.5000

Computed properties:
SG: P4/mmm (123)
Theoretical density in g cm⁻³: 8.147
Calculated volume in Å³/atom: 21.79
Uncorrected formation energy in eV/atom: -0.53
Density of states at the Fermi level in states/eV/f.u.: 2.054
M_tot in μB/cell: 0.0

---

A geometry-optimized Ho3Ga2Si4 structure. Source: the Alexandria database, functional PBE.

Cell lengths 4.0774, 5.7238, 8.2266 Å; angles 103.20, 90.00, 110.87 degrees
Sites, in units of the cell vectors:
Ga  0.6157  0.2315  0.2792
Si  0.2806  0.5611  0.9501
Ho  0.0000  0.0000  0.0000
Ho  0.3359  0.6718  0.3290
Si  0.9441  0.8881  0.6074
Si  0.7194  0.4389  0.0499
Ga  0.3843  0.7685  0.7208
Si  0.0559  0.1119  0.3926
Ho  0.6641  0.3282  0.6710

Computed properties:
SG: C2/m (12)
Theoretical density in g cm⁻³: 7.126
Calculated volume in Å³/atom: 19.33
Uncorrected formation energy in eV/atom: -0.57
Density of states at the Fermi level in states/eV/f.u.: 3.521
M_tot in μB/cell: 0.0

---

A geometry-optimized Ho2GaSi3 structure. Source: the Alexandria database, functional PBE.

Cell lengths 4.0212, 4.0174, 7.7363 Å; angles 105.05, 105.06, 90.00 degrees
Sites, in units of the cell vectors:
Ho  0.8678  0.3678  0.7355
Ga  0.4578  0.9578  0.9156
Si  0.2913  0.7913  0.5827
Si  0.7080  0.7080  0.4160
Si  0.5452  0.5452  0.0904
Ho  0.1299  0.1299  0.2598

Computed properties:
SG: Imm2 (44)
Theoretical density in g cm⁻³: 6.912
Calculated volume in Å³/atom: 19.37
Uncorrected formation energy in eV/atom: -0.56
Density of states at the Fermi level in states/eV/f.u.: 2.288
M_tot in μB/cell: 0.0

---

A geometry-optimized Ho2GaSi structure. Source: the Alexandria database, functional PBE.

Cell lengths 3.9375, 5.7470, 8.5740 Å; angles 111.96, 90.00, 90.00 degrees
Sites, in units of the cell vectors:
Ga  0.7500  0.6553  0.2889
Ho  0.2500  0.7782  0.5733
Ho  0.2500  0.7834  0.0680
Si  0.2500  0.3491  0.2107
Ho  0.7500  0.2218  0.4267
Ho  0.7500  0.2166  0.9320
Ga  0.2500  0.3447  0.7111
Si  0.7500  0.6509  0.7893

Computed properties:
SG: P2_1/m (11)
Theoretical density in g cm⁻³: 7.893
Calculated volume in Å³/atom: 22.49
Uncorrected formation energy in eV/atom: -0.75
Density of states at the Fermi level in states/eV/f.u.: 3.284
M_tot in μB/cell: 0.0

---

A geometry-optimized Ho4Ga5Si2 structure. Source: the Alexandria database, functional PBE.

Cell lengths 4.1927, 6.9444, 7.9114 Å; angles 90.85, 90.00, 90.00 degrees
Sites, in units of the cell vectors:
Ho  0.5000  0.2424  0.3930
Si  0.0000  0.0829  0.6292
Ga  0.0000  0.5000  0.0000
Ga  0.0000  0.8725  0.8777
Si  0.0000  0.9171  0.3708
Ho  0.5000  0.2191  0.8636
Ho  0.5000  0.7809  0.1364
Ga  0.0000  0.5544  0.3420
Ho  0.5000  0.7576  0.6070
Ga  0.0000  0.4456  0.6580
Ga  0.0000  0.1275  0.1223

Computed properties:
SG: P2/m (10)
Theoretical density in g cm⁻³: 7.675
Calculated volume in Å³/atom: 20.94
Uncorrected formation energy in eV/atom: -0.63
Density of states at the Fermi level in states/eV/f.u.: 7.434
M_tot in μB/cell: 0.0